[1]
Crystalline Ce2ZrAs4 at its relaxed geometry, computed with PBE-GGA.

Properties
Crystal system: tetragonal
Energy of formation: -0.941 eV/atom

Cell and atoms, written as CIF:
```
data_Ce2ZrAs4
_symmetry_space_group_name_H-M 'P -4 m 2'
_symmetry_Int_Tables_number 115
_cell_length_a 3.955
_cell_length_b 3.955
_cell_length_c 10.881
_cell_angle_alpha 90.00
_cell_angle_beta 90.00
_cell_angle_gamma 90.00
loop_
_symmetry_equiv_pos_as_xyz
'x,y,z'
'y,-x,-z'
'-x,-y,z'
'-y,x,-z'
'-x,y,z'
'-y,-x,-z'
'x,-y,z'
'y,x,-z'
loop_
_atom_site_label
_atom_site_type_symbol
_atom_site_fract_x
_atom_site_fract_y
_atom_site_fract_z
Ce1 Ce 0.000 0.500 0.215
Zr1 Zr 0.000 0.000 0.500
As1 As 0.000 0.000 0.000
As2 As 0.000 0.500 0.669
As3 As 0.500 0.500 0.000
```

[2]
Crystalline LaEr2V at its relaxed geometry, computed with PBE-GGA.

Properties
Crystal system: trigonal
Energy of formation: 0.341 eV/atom

Cell and atoms, written as CIF:
```
data_LaEr2V
_symmetry_space_group_name_H-M 'R -3 m'
_symmetry_Int_Tables_number 166
_symmetry_space_group_name_Hall '-R 3 2"'
_cell_length_a 3.4818
_cell_length_b 3.4818
_cell_length_c 31.7928
_cell_angle_alpha 90.00
_cell_angle_beta 90.00
_cell_angle_gamma 120.00
loop_
_atom_site_label
_atom_site_type_symbol
_atom_site_fract_x
_atom_site_fract_y
_atom_site_fract_z
La1 La 0.0000 0.0000 0.0000
Er1 Er 0.0000 0.0000 0.2359
V1 V 0.0000 0.0000 0.5000
```

[3]
Crystalline SiNi3Cl at its relaxed geometry, computed with PBE-GGA.

Properties
Crystal system: cubic
ΔE_f (raw): 0.5307 eV/atom

Cell and atoms, written as CIF:
```
data_SiNi3Cl
_symmetry_space_group_name_H-M 'P m -3 m'
_symmetry_Int_Tables_number 221
_symmetry_space_group_name_Hall '-P 4 2 3'
_cell_length_a 4.315
_cell_length_b 4.315
_cell_length_c 4.315
_cell_angle_alpha 90.00
_cell_angle_beta 90.00
_cell_angle_gamma 90.00
loop_
_atom_site_label
_atom_site_type_symbol
_atom_site_fract_x
_atom_site_fract_y
_atom_site_fract_z
Si1 Si 0.000 0.000 0.000
Ni1 Ni 0.000 0.000 0.500
Cl1 Cl 0.500 0.500 0.500
```

[4]
Crystalline LiUBeO5 at its relaxed geometry, computed with PBE-GGA.

Properties
Crystal system: monoclinic
ΔE_f (raw): -2.4730 eV/atom

Cell and atoms, written as CIF:
```
data_LiUBeO5
_symmetry_space_group_name_H-M 'C 1 2/c 1'
_symmetry_Int_Tables_number 15
_cell_length_a 7.551
_cell_length_b 8.092
_cell_length_c 7.835
_cell_angle_alpha 90.00
_cell_angle_beta 117.05
_cell_angle_gamma 90.00
loop_
_symmetry_equiv_pos_as_xyz
'x,y,z'
'-x,-y,-z'
'-x,y,-z+1/2'
'x,-y,z+1/2'
'x+1/2,y+1/2,z'
'-x+1/2,-y+1/2,-z'
'-x+1/2,y+1/2,-z+1/2'
'x+1/2,-y+1/2,z+1/2'
loop_
_atom_site_label
_atom_site_type_symbol
_atom_site_fract_x
_atom_site_fract_y
_atom_site_fract_z
Li1 Li 0.000 0.086 0.250
U1 U 0.250 0.250 0.000
Be1 Be 0.000 0.406 0.250
O1 O 0.000 0.154 0.750
O2 O 0.076 0.276 0.137
O3 O 0.183 0.481 0.903
```

| no. | total magnetization (μB/f.u.) |
| --- | --- |
| 1 | 2.7 |
| 2 | 2.4 |
| 3 | 0.0 |
| 4 | 1.0 |